A plane-wave DFT calculation with PBE was carried out for an optimized crystal structure of Ti2BOs.

Summary:
Calculated formation energy, meV per atom: 56

Cell: 5.7613 5.7613 5.7613 Å, 97.53 97.53 137.57°
Positions (direct):
Ti: 0.0016 0.6250 0.8766
Ti: 0.3750 0.2516 0.3766
Ti: 0.7484 0.1250 0.1234
Ti: 0.8750 0.9984 0.6234
B: 0.0000 0.0000 0.0000
B: 0.7500 0.2500 0.5000
Os: 0.2500 0.7500 0.5000
Os: 0.5000 0.5000 0.0000